! PtSN3 PBE optimized geometry; values from VASP
! * DFT total energy: -4.879 eV/atom
! * symmetry: Pm-3m
&SYSTEM
  ibrav = 0, nat = 5, ntyp = 3
/
ATOMIC_SPECIES
Pt 195.08 Pt.upf
S 32.06 S.upf
N 14.01 N.upf
CELL_PARAMETERS angstrom
3.575 0.000 0.000
0.000 3.575 0.000
0.000 0.000 3.575
ATOMIC_POSITIONS crystal
Pt 0.000 0.000 0.000
S 0.500 0.500 0.500
N 0.000 0.500 0.500
N 0.500 0.000 0.500
N 0.500 0.500 0.000